VASP calculation (PBE with a Hubbard U) on an optimized crystal structure of Bi3MoF.

Properties
Calculated volume (Å³ per atom): 30.8
Distance to the lowest polymorph of the same formula (eV per atom): 0.3813
Uncorrected energy (eV for the cell shown): -18.43

Unit cell a=5.358 b=5.358 c=5.358 alpha=90.00 beta=90.00 gamma=90.00
Fractional positions:
Mo 0.000 0.000 0.000
F 0.500 0.500 0.500
Bi 0.000 0.500 0.000
Bi 0.500 0.000 0.000
Bi 0.000 0.000 0.500

VASP calculation (PBE with a Hubbard U) on an optimized crystal structure of Bi3MoF.

Properties
Calculated volume (Å³ per atom): 26.1
Distance to the lowest polymorph of the same formula (eV per atom): 0.0000
Uncorrected energy (eV for the cell shown): -20.34

Unit cell a=5.074 b=5.074 c=5.074 alpha=90.00 beta=90.00 gamma=90.00
Each line ends with the local moment (μB).
Fractional positions:
Bi 0.000 0.000 0.500  -0.21
F 0.000 0.000 0.000  -0.04
Bi 0.000 0.500 0.000  -0.26
Mo 0.500 0.500 0.500  3.78
Bi 0.500 0.000 0.000  -0.19

VASP calculation (PBE with a Hubbard U) on an optimized crystal structure of BiMo2F2.

Properties
Calculated volume (Å³ per atom): 18.7
Distance to the lowest polymorph of the same formula (eV per atom): 0.1304
Uncorrected energy (eV for the cell shown): -46.05

Unit cell a=7.606 b=7.606 c=3.228 alpha=90.00 beta=90.00 gamma=90.00
Each line ends with the local moment (μB).
Fractional positions:
F 0.117 0.383 0.000  0.03
Mo 0.158 0.658 0.500  3.83
Bi 0.000 0.000 0.000  -0.50
Mo 0.842 0.342 0.500  3.83
Bi 0.500 0.500 0.000  -0.50
F 0.617 0.117 0.000  0.04
F 0.883 0.617 0.000  0.03
Mo 0.342 0.158 0.500  3.82
F 0.383 0.883 0.000  0.04
Mo 0.658 0.842 0.500  3.82

VASP calculation (PBE with a Hubbard U) on an optimized crystal structure of Bi2MoF.

Properties
Calculated volume (Å³ per atom): 22.6
Distance to the lowest polymorph of the same formula (eV per atom): 0.0000
Uncorrected energy (eV for the cell shown): -17.21

Unit cell a=5.036 b=5.036 c=5.036 alpha=60.00 beta=60.00 gamma=60.00
Each line ends with the local moment (μB).
Fractional positions:
Bi 0.750 0.750 0.750  -0.08
Bi 0.250 0.250 0.250  -0.08
Mo 0.500 0.500 0.500  3.44
F 0.000 0.000 0.000  0.00

VASP calculation (PBE with a Hubbard U) on an optimized crystal structure of BiMo2F2.

Properties
Calculated volume (Å³ per atom): 19.7
Distance to the lowest polymorph of the same formula (eV per atom): 0.0000
Uncorrected energy (eV for the cell shown): -23.68

Unit cell a=4.660 b=4.660 c=5.607 alpha=65.45 beta=65.45 gamma=90.00
Each line ends with the local moment (μB).
Fractional positions:
Bi 0.000 0.000 0.000  -0.50
F 0.666 0.666 0.667  0.02
Mo 0.250 0.750 0.500  3.45
F 0.334 0.334 0.333  0.02
Mo 0.750 0.250 0.500  3.45

VASP calculation (PBE with a Hubbard U) on an optimized crystal structure of Bi2MoF.

Properties
Calculated volume (Å³ per atom): 26.3
Distance to the lowest polymorph of the same formula (eV per atom): 0.1888
Uncorrected energy (eV for the cell shown): -32.91

Unit cell a=4.482 b=4.482 c=10.945 alpha=78.19 beta=78.19 gamma=90.00
Each line ends with the local moment (μB).
Fractional positions:
Bi 0.375 0.375 0.750  -0.12
Bi 0.625 0.125 0.250  -0.09
Bi 0.125 0.625 0.250  -0.09
Mo 0.000 0.000 0.000  3.83
F 0.250 0.750 0.500  0.04
Bi 0.875 0.875 0.750  -0.12
F 0.500 0.500 0.000  0.04
Mo 0.750 0.250 0.500  3.83

VASP calculation (PBE with a Hubbard U) on an optimized crystal structure of NaBiMoF6.

Properties
Calculated volume (Å³ per atom): 16.4
Uncorrected energy (eV for the cell shown): -88.94

Unit cell a=6.299 b=6.299 c=8.583 alpha=90.00 beta=90.00 gamma=120.00
Each line ends with the local moment (μB).
Fractional positions:
Bi 0.333 0.667 0.750  0.56
F 0.963 0.637 0.862  0.03
Na 0.000 0.000 0.500  0.00
F 0.037 0.673 0.362  0.03
Na 0.000 0.000 0.000  0.00
F 0.673 0.637 0.638  0.03
F 0.327 0.363 0.362  0.03
F 0.673 0.037 0.862  0.03
F 0.037 0.363 0.138  0.03
F 0.363 0.327 0.862  0.03
F 0.637 0.963 0.362  0.03
F 0.327 0.963 0.138  0.03
Mo 0.667 0.333 0.750  2.83
Bi 0.667 0.333 0.250  0.56
F 0.637 0.673 0.138  0.03
Mo 0.333 0.667 0.250  2.83
F 0.363 0.037 0.638  0.03
F 0.963 0.327 0.638  0.03

VASP calculation (PBE with a Hubbard U) on an optimized crystal structure of Na2BiMoF8.

Properties
Calculated volume (Å³ per atom): 14.1
Uncorrected energy (eV for the cell shown): -59.65

Unit cell a=4.096 b=5.557 c=7.457 alpha=90.00 beta=90.00 gamma=87.27
Each line ends with the local moment (μB).
Fractional positions:
F 0.061 0.228 0.267  0.00
F 0.582 0.231 0.500  0.03
F 0.418 0.769 0.500  0.03
F 0.939 0.772 0.267  0.00
Bi 0.000 0.000 0.000  0.01
F 0.939 0.772 0.733  0.00
Na 0.500 0.500 0.736  0.00
Na 0.500 0.500 0.264  0.00
F 0.518 0.240 0.000  0.00
F 0.482 0.760 0.000  0.00
Mo 0.000 0.000 0.500  2.80
F 0.061 0.228 0.733  0.00

VASP calculation (PBE with a Hubbard U) on an optimized crystal structure of BiMoOs2F.

Properties
Calculated volume (Å³ per atom): 30.5
Uncorrected energy (eV for the cell shown): -23.08

Unit cell a=5.072 b=5.072 c=5.934 alpha=90.00 beta=90.00 gamma=90.00
Each line ends with the local moment (μB).
Fractional positions:
Os 0.500 0.000 0.000  1.54
Os 0.000 0.500 0.000  1.54
Mo 0.000 0.000 0.500  4.06
Bi 0.000 0.000 0.000  -0.09
F 0.500 0.500 0.500  0.13

VASP calculation (PBE with a Hubbard U) on an optimized crystal structure of BiMoS2F.

Properties
Calculated volume (Å³ per atom): 32.3
Uncorrected energy (eV for the cell shown): -17.67

Unit cell a=5.101 b=6.207 c=5.101 alpha=90.00 beta=90.00 gamma=90.00
Each line ends with the local moment (μB).
Fractional positions:
Bi 0.000 0.000 0.000  -0.02
S 0.500 0.000 0.000  0.02
F 0.500 0.500 0.500  -0.11
Mo 0.000 0.500 0.000  4.05
S 0.000 0.000 0.500  0.06

VASP calculation (PBE with a Hubbard U) on an optimized crystal structure of BiSb2MoF.

Properties
Calculated volume (Å³ per atom): 39.1
Uncorrected energy (eV for the cell shown): -16.56

Unit cell a=5.838 b=5.742 c=5.838 alpha=90.00 beta=90.00 gamma=90.00
Each line ends with the local moment (μB).
Fractional positions:
F 0.500 0.500 0.500  -0.03
Bi 0.000 0.000 0.000  -0.04
Mo 0.000 0.500 0.000  4.00
Sb 0.000 0.000 0.500  -0.15
Sb 0.500 0.000 0.000  -0.21

VASP calculation (PBE with a Hubbard U) on an optimized crystal structure of Sn2BiMoF.

Properties
Calculated volume (Å³ per atom): 40.7
Uncorrected energy (eV for the cell shown): -17.15

Unit cell a=5.966 b=5.721 c=5.966 alpha=90.00 beta=90.00 gamma=90.00
Each line ends with the local moment (μB).
Fractional positions:
Bi 0.000 0.000 0.000  -0.05
Sn 0.000 0.000 0.500  0.01
Mo 0.000 0.500 0.000  4.03
Sn 0.500 0.000 0.000  -0.09
F 0.500 0.500 0.500  0.04

Q: Among the records above, which one has the highest uncorrected energy?
A: BiSb2MoF

Q: The highest uncorrected energy belongs to which entry?
A: BiSb2MoF